Entry 1:
DFT (PBE-GGA) results for a relaxed structure of La3CoB.

**Calculated total energy**: -5.25 eV/atom
**Space group**: Pm-3m (221)

Unit cell a=5.240 b=5.240 c=5.240 alpha=90.00 beta=90.00 gamma=90.00
Site moments in Bohr magnetons follow the coordinates.
Positions (direct):
La 0.000 0.500 0.000  0.10
La 0.000 0.000 0.500  0.11
La 0.500 0.000 0.000  0.16
B 0.000 0.000 0.000  -0.01
Co 0.500 0.500 0.500  -1.62


Entry 2:
DFT (PBE-GGA) results for a relaxed structure of Mg2Cu3Se2.

**Calculated total energy**: -3.30 eV/atom
**Space group**: Cmmm (65)
**Energy relative to the lowest polymorph listed for this composition**: 270 meV/atom

Unit cell a=10.843 b=10.843 c=3.457 alpha=90.00 beta=90.00 gamma=161.96
Positions (direct):
Cu 0.555 0.445 0.500
Cu 0.445 0.555 0.500
Cu 0.000 0.000 0.000
Se 0.120 0.880 0.000
Se 0.880 0.120 0.000
Mg 0.313 0.687 0.500
Mg 0.687 0.313 0.500


Entry 3:
DFT (PBE-GGA) results for a relaxed structure of PaB2O5.

**Calculated total energy**: -8.52 eV/atom
**Space group**: P2_1/m (11)

Unit cell a=5.643 b=5.139 c=7.370 alpha=90.00 beta=90.00 gamma=82.38
Site moments in Bohr magnetons follow the coordinates.
Positions (direct):
B 0.999 0.364 0.828  0.00
B 0.501 0.636 0.672  0.00
B 0.501 0.636 0.328  0.00
B 0.999 0.364 0.172  0.00
O 0.039 0.096 0.189  -0.01
O 0.039 0.096 0.811  -0.01
O 0.014 0.513 0.678  -0.01
O 0.461 0.904 0.311  -0.01
O 0.991 0.493 0.000  0.00
O 0.486 0.487 0.178  -0.01
O 0.014 0.513 0.322  -0.01
O 0.509 0.507 0.500  0.00
O 0.486 0.487 0.822  -0.01
O 0.461 0.904 0.689  -0.01
Pa 0.285 0.809 0.000  1.02
Pa 0.215 0.191 0.500  1.02


Entry 4:
DFT (PBE-GGA) results for a relaxed structure of AcNd2Tm.

**Calculated total energy**: -4.48 eV/atom
**Space group**: R3m (160)
**Energy relative to the lowest polymorph listed for this composition**: 17 meV/atom

Unit cell a=3.728 b=3.728 c=12.245 alpha=81.24 beta=81.24 gamma=60.00
Positions (direct):
Nd 0.079 0.079 0.763
Nd 0.255 0.255 0.236
Tm 0.667 0.667 0.000
Ac 0.500 0.500 0.500


Entry 5:
DFT (PBE-GGA) results for a relaxed structure of Tb8Ni2Ru.

**Calculated total energy**: -5.49 eV/atom
**Space group**: C2/m (12)

Unit cell a=5.036 b=6.651 c=8.914 alpha=105.03 beta=106.41 gamma=90.00
Positions (direct):
Tb 0.200 0.325 0.400
Tb 0.036 0.793 0.072
Tb 0.591 0.445 0.182
Tb 0.330 0.024 0.659
Tb 0.964 0.207 0.928
Tb 0.800 0.675 0.600
Tb 0.670 0.976 0.341
Tb 0.409 0.555 0.818
Ni 0.811 0.281 0.621
Ni 0.189 0.719 0.379
Ru 0.500 0.000 0.000


Entry 6:
DFT (PBE-GGA) results for a relaxed structure of RbTh2Te5Au.

**Calculated total energy**: -4.84 eV/atom
**Space group**: I4/mcm (140)

Unit cell a=8.769 b=8.769 c=10.283 alpha=115.24 beta=115.24 gamma=90.00
Positions (direct):
Au 0.250 0.750 0.500
Au 0.750 0.250 0.500
Te 0.767 0.975 0.242
Te 0.025 0.525 0.758
Te 0.267 0.767 0.242
Te 0.733 0.233 0.758
Te 0.975 0.475 0.242
Te 0.233 0.025 0.758
Te 0.475 0.267 0.242
Te 0.525 0.733 0.758
Te 0.500 0.500 0.000
Te 0.000 0.000 0.000
Th 0.157 0.343 0.000
Th 0.843 0.657 0.000
Th 0.343 0.843 0.000
Th 0.657 0.157 0.000
Rb 0.750 0.750 0.500
Rb 0.250 0.250 0.500


Entry 7:
DFT (PBE-GGA) results for a relaxed structure of TbEr7Tm12.

**Calculated total energy**: -3.76 eV/atom
**Space group**: Im-3m (229)
**Energy relative to the lowest polymorph listed for this composition**: 437 meV/atom

Unit cell a=9.628 b=9.628 c=9.628 alpha=109.47 beta=109.47 gamma=109.47
Positions (direct):
Tm 0.747 0.000 0.253
Tm 0.000 0.253 0.747
Tm 0.253 0.253 0.506
Tm 0.253 0.506 0.253
Tm 0.253 0.747 0.000
Tm 0.494 0.747 0.747
Tm 0.747 0.253 0.000
Tm 0.506 0.253 0.253
Tm 0.747 0.747 0.494
Tm 0.253 0.000 0.747
Tm 0.000 0.747 0.253
Tm 0.747 0.494 0.747
Er 0.000 0.000 0.500
Er 0.500 0.500 0.500
Er 0.000 0.500 0.500
Er 0.500 0.500 0.000
Er 0.500 0.000 0.000
Er 0.500 0.000 0.500
Er 0.000 0.500 0.000
Tb 0.000 0.000 0.000


Entry 8:
DFT (PBE-GGA) results for a relaxed structure of ScMn3Ag.

**Calculated total energy**: -6.30 eV/atom
**Space group**: Pm-3m (221)
**Energy relative to the lowest polymorph listed for this composition**: 0 meV/atom

Unit cell a=4.866 b=4.866 c=4.866 alpha=90.00 beta=90.00 gamma=90.00
Site moments in Bohr magnetons follow the coordinates.
Positions (direct):
Mn 0.000 0.000 0.500  4.05
Mn 0.000 0.500 0.000  4.03
Mn 0.500 0.000 0.000  3.86
Sc 0.500 0.500 0.500  -0.47
Ag 0.000 0.000 0.000  0.15


Entry 9:
DFT (PBE-GGA) results for a relaxed structure of K3La2PuS6.

**Calculated total energy**: -6.14 eV/atom
**Space group**: C2/m (12)

Unit cell a=7.359 b=7.359 c=7.745 alpha=99.13 beta=99.13 gamma=119.99
Site moments in Bohr magnetons follow the coordinates.
Positions (direct):
K 0.500 0.500 0.500  0.00
K 0.167 0.833 0.500  0.00
K 0.833 0.167 0.500  0.00
La 0.667 0.333 0.000  0.02
La 0.333 0.667 0.000  0.02
S 0.931 0.606 0.794  -0.03
S 0.069 0.394 0.206  -0.03
S 0.606 0.931 0.794  -0.03
S 0.744 0.744 0.205  -0.03
S 0.394 0.069 0.206  -0.03
S 0.256 0.256 0.795  -0.03
Pu 0.000 0.000 0.000  5.00


Entry 10:
DFT (PBE-GGA) results for a relaxed structure of SmCu2.

**Calculated total energy**: -4.54 eV/atom
**Space group**: C2/m (12)

Unit cell a=4.330 b=5.556 c=5.556 alpha=78.51 beta=66.89 gamma=66.89
Positions (direct):
Sm 0.460 0.789 0.289
Sm 0.540 0.211 0.711
Cu 0.835 0.616 0.715
Cu 0.165 0.384 0.285
Cu 0.165 0.785 0.884
Cu 0.835 0.215 0.116


Entry 11:
DFT (PBE-GGA) results for a relaxed structure of SrTl2Zn.

**Calculated total energy**: -2.07 eV/atom
**Space group**: Immm (71)

Unit cell a=6.025 b=6.025 c=6.025 alpha=138.83 beta=123.74 gamma=72.05
Positions (direct):
Sr 0.250 0.750 0.500
Tl 0.964 0.964 0.000
Tl 0.536 0.536 0.000
Zn 0.750 0.250 0.500


Entry 12:
DFT (PBE-GGA) results for a relaxed structure of BeZnInNiPd.

**Calculated total energy**: -3.96 eV/atom
**Space group**: Pmm2 (25)
**Energy relative to the lowest polymorph listed for this composition**: 33 meV/atom

Unit cell a=3.127 b=4.004 c=5.763 alpha=90.00 beta=90.00 gamma=90.00
Positions (direct):
Be 0.000 0.000 0.232
Pd 0.500 0.000 0.521
Ni 0.500 0.000 0.977
In 0.000 0.500 0.773
Zn 0.500 0.500 0.232


| no. | magnetic moment (μB per formula unit) |
| --- | --- |
| 1 | 0.46 |
| 2 | 0.00 |
| 3 | 1.00 |
| 4 | 0.00 |
| 5 | 0.00 |
| 6 | 0.00 |
| 7 | 0.00 |
| 8 | 12.01 |
| 9 | 5.00 |
| 10 | 0.00 |
| 11 | 0.00 |
| 12 | 0.00 |